Below is a geometry-optimized Sr2LiY structure, with properties calculated at the GGA-PBE level.

Calculated values
As for the total magnetization: 0.003 μB/cell. The calculation puts the polymorph energy (0 for the lowest one) at 45 meV per atom. Its uncorrected energy is -2.752 eV per atom. The formation energy is 17.7 kJ/mol of atoms.

Unit cell a=7.3106 b=7.3106 c=6.2763 alpha=115.31 beta=115.31 gamma=31.62
With the nearest neighbours (Å) after each atom.
Fractional coordinates of all 4 atoms:
1 Sr 0.0000 0.0000 0.0000  2 Li 3.54, 4 Y 3.80
2 Sr 0.2172 0.2172 0.7170  4 Li 3.72, 6 Sr 3.98-4.17, 2 Y 4.04
3 Li 0.7326 0.7326 0.2322  2 Y 3.27, 2 Sr 3.54
4 Y 0.4386 0.4386 0.4387  2 Li 3.27